Record 1
Pu3Pd | PBE-GGA | optimized geometry

Cell lengths 3.201, 5.115, 5.239 Å; angles 90.00, 90.00, 90.00 degrees
Space group Pmm2 (No. 25)
Asymmetric unit:
Pu 0.000 0.000 0.000 (multiplicity 1)
Pu 0.000 0.500 0.483 (multiplicity 1)
Pu 0.500 0.500 0.970 (multiplicity 1)
Pd 0.500 0.000 0.504 (multiplicity 1)

Calculated formation energy, eV per atom: -0.053
Total moment, μB/atom: 1.170
Calculated volume, Å³/cell: 85.8
Total DFT energy (no corrections), eV per formula unit: -48.40

***

Record 2
NbGa5Ru6 | PBE-GGA | optimized geometry

Cell lengths 4.332, 12.922, 6.114 Å; angles 90.00, 90.00, 90.00 degrees
Space group Cmmm (No. 65)
Asymmetric unit:
Nb 0.000 0.000 0.000 (multiplicity 2)
Ga 0.000 0.000 0.500 (multiplicity 2)
Ga 0.000 0.335 0.500 (multiplicity 4)
Ga 0.000 0.337 0.000 (multiplicity 4)
Ru 0.000 0.171 0.252 (multiplicity 8)
Ru 0.000 0.500 0.259 (multiplicity 4)

Calculated formation energy, eV per atom: -0.386
Total moment, μB/atom: 0.000
Calculated volume, Å³/cell: 342.3
Total DFT energy (no corrections), eV per formula unit: -85.49